(1)
Compound: TaRePd
Source: Alexandria via LeMat-Bulk
Functional: PBE-GGA
Structure: relaxed

## Properties
calculated total energy: -59.23 eV/cell
formation enthalpy at 0 K: -12 kJ/mol of formula units
symmetry: I4/mmm, No. 139

a b c (Å): 10.674 10.674 10.674
angles (deg): 162.93 162.93 24.23
Sites, in units of the cell vectors:
Ta 0.136 0.136 0.000
Ta 0.864 0.864 0.000
Re 0.291 0.291 0.000
Re 0.709 0.709 0.000
Pd 0.439 0.439 0.000
Pd 0.561 0.561 0.000

***

(2)
Compound: Sr2CdGa4Pt3
Source: Alexandria via LeMat-Bulk
Functional: PBE-GGA
Structure: relaxed

## Properties
calculated total energy: -41.79 eV/cell
formation enthalpy at 0 K: -703 kJ/mol of formula units
symmetry: P-4m2, No. 115

a b c (Å): 4.418 4.418 10.804
angles (deg): 90.00 90.00 90.00
Sites, in units of the cell vectors:
Sr 0.000 0.500 0.243
Sr 0.500 0.000 0.757
Cd 0.000 0.000 0.500
Ga 0.000 0.000 0.000
Ga 0.000 0.500 0.641
Ga 0.500 0.000 0.359
Ga 0.500 0.500 0.000
Pt 0.000 0.500 0.876
Pt 0.500 0.000 0.124
Pt 0.500 0.500 0.500

***

(3)
Compound: TaSnSbTe2
Source: Alexandria via LeMat-Bulk
Functional: PBE-GGA
Structure: relaxed

## Properties
calculated total energy: -24.52 eV/cell
symmetry: P4/mmm, No. 123
ΔE_f (raw): 0.35 eV/atom

a b c (Å): 5.390 5.390 5.496
angles (deg): 90.00 90.00 90.00
Sites, in units of the cell vectors:
Ta 0.000 0.000 0.000
Sn 0.500 0.500 0.500
Sb 0.000 0.000 0.500
Te 0.000 0.500 0.000
Te 0.500 0.000 0.000

***

(4)
Compound: TcNi2IrN
Source: Alexandria via LeMat-Bulk
Functional: PBE-GGA
Structure: relaxed

## Properties
calculated total energy: -38.20 eV/cell
symmetry: P4/mmm, No. 123
ΔE_f (raw): 0.18 eV/atom

a b c (Å): 3.855 3.855 3.934
angles (deg): 90.00 90.00 90.00
Sites, in units of the cell vectors:
Tc 0.000 0.000 0.000
Ni 0.000 0.500 0.500
Ni 0.500 0.000 0.500
Ir 0.500 0.500 0.000
N 0.000 0.000 0.500